Mo2IrAu: relaxed, GGA-PBE.

Lattice parameters (Å, degrees): 3.3389 3.3389 5.8270 90.00 90.00 90.00
Element x y z (fractional)
Mo1 0.0000 0.0000 0.0000
Mo2 0.5000 0.5000 0.2502
Ir1 0.5000 0.5000 0.7903
Au1 0.0000 0.0000 0.5180

Values from the calculation:
E_tot in eV/atom: -8.247
N(E_F) in states/eV per cell: 3.82
Total moment in μB per cell: 0.000
Polymorph energy (0 for the lowest one) in eV per atom: 0.2180